[1]
The following is a PBE calculation of a geometry-optimized Cs2HfGaCl6 structure, from the Open Quantum Materials Database.

extended XYZ file:
```
10
Lattice="4.240 -0.243 6.374 -1.787 -4.907 5.603 4.500 -6.043 1.378" Properties=species:S:1:pos:R:3 pbc="T T T"
Cl 0.654 -5.227 6.101
Cl 2.928 -5.358 9.520
Cl 3.886 -2.726 6.515
Cl 3.068 -8.468 6.840
Cl 6.300 -5.967 7.254
Cl 4.026 -5.836 3.835
Cs 1.739 -2.799 3.339
Cs 5.216 -8.396 10.016
Ga 3.477 -5.597 6.677
Hf 0.000 0.000 0.000
```

Values from the calculation:
**Space group**: No. 225
**Theoretical density**: 3.80 Mg/m³
**Uncorrected energy**: -41.86 eV per cell

=====

[2]
The following is a PBE calculation of a geometry-optimized CsGdCl3 structure, from the Open Quantum Materials Database.

extended XYZ file:
```
20
Lattice="7.677 0.000 0.000 0.000 10.817 0.000 0.000 0.000 7.613" Properties=species:S:1:pos:R:3 pbc="T T T"
Cl 0.006 2.704 0.011
Cl 1.929 5.417 1.894
Cl 1.929 10.808 1.894
Cl 5.767 5.417 1.912
Cl 5.767 10.808 1.912
Cl 3.845 2.704 3.796
Cl 3.833 8.112 3.817
Cl 1.910 0.009 5.701
Cl 1.910 5.399 5.701
Cl 5.749 0.009 5.719
Cl 5.749 5.399 5.719
Cl 7.672 8.112 7.603
Cs 3.868 2.704 0.003
Cs 0.029 2.704 3.804
Cs 7.649 8.112 3.809
Cs 3.810 8.112 7.611
Gd 0.000 0.000 0.000
Gd 0.000 5.408 0.000
Gd 3.839 0.000 3.807
Gd 3.839 5.408 3.807
```

Values from the calculation:
**Space group**: No. 62
**Theoretical density**: 4.17 Mg/m³
**Uncorrected energy**: -82.74 eV per cell

=====

[3]
The following is a PBE calculation of a geometry-optimized CsGdCl3 structure, from the Open Quantum Materials Database.

extended XYZ file:
```
10
Lattice="-1.291 6.376 3.991 -5.415 -3.599 3.998 3.704 -1.529 3.640" Properties=species:S:1:pos:R:3 pbc="T T T"
Cl 0.000 0.000 0.000
Cl -3.353 1.389 3.994
Cl 0.246 0.101 3.817
Cl -0.585 3.166 5.950
Cl -2.417 -1.917 5.679
Cl -3.248 1.148 7.812
Cs -0.645 3.188 1.996
Cs -2.707 -1.799 1.999
Gd 1.852 -0.764 1.820
Gd -1.501 0.624 5.815
```

Values from the calculation:
**Space group**: No. 127
**Theoretical density**: 4.18 Mg/m³
**Uncorrected energy**: -41.35 eV per cell

=====

[4]
The following is a PBE calculation of a geometry-optimized Cs2GePdCl6 structure, from the Open Quantum Materials Database.

extended XYZ file:
```
10
Lattice="-1.057 1.202 7.072 -5.521 -3.205 3.437 1.292 -5.273 4.806" Properties=species:S:1:pos:R:3 pbc="T T T"
Cl -1.850 -1.219 7.365
Cl -4.082 -3.422 5.548
Cl -4.610 -2.821 9.082
Cl -0.676 -4.455 6.232
Cl -1.204 -3.854 9.767
Cl -3.436 -6.057 7.950
Cs -1.321 -1.819 3.829
Cs -3.964 -5.457 11.486
Ge 0.000 0.000 0.000
Pd -2.643 -3.638 7.657
```

Values from the calculation:
**Space group**: No. 225
**Theoretical density**: 4.05 Mg/m³
**Uncorrected energy**: -34.43 eV per cell

=====

[5]
The following is a PBE calculation of a geometry-optimized Cs2KHfCl6 structure, from the Open Quantum Materials Database.

extended XYZ file:
```
10
Lattice="2.677 -4.108 -6.003 4.825 -5.943 1.215 -2.446 -7.269 -1.120" Properties=species:S:1:pos:R:3 pbc="T T T"
Cl 2.609 -6.198 -4.603
Cl 3.771 -7.190 -0.699
Cl 5.219 -9.413 -3.946
Cl 1.286 -10.130 -5.209
Cl 2.448 -11.123 -1.304
Cl -0.163 -7.908 -1.962
Cs 1.264 -4.330 -1.477
Cs 3.792 -12.990 -4.431
Hf 0.000 0.000 0.000
K 2.528 -8.660 -2.954
```

Values from the calculation:
**Space group**: No. 225
**Theoretical density**: 3.51 Mg/m³
**Uncorrected energy**: -42.41 eV per cell

=====

[6]
The following is a PBE calculation of a geometry-optimized Cs2HgCl4 structure, from the Open Quantum Materials Database.

extended XYZ file:
```
56
Lattice="7.772 0.004 -0.002 -0.014 9.923 0.005 -0.057 0.029 27.674" Properties=species:S:1:pos:R:3 pbc="T T T"
Cl 5.837 2.442 1.082
Cl 1.904 2.372 1.119
Cl 0.089 8.699 2.144
Cl 3.394 5.853 2.423
Cl 7.274 5.153 4.465
Cl 3.996 2.244 4.616
Cl 2.037 8.668 5.450
Cl 5.780 8.636 5.623
Cl 1.913 3.557 8.069
Cl 5.680 3.703 8.194
Cl 3.821 7.154 9.136
Cl 7.282 0.179 9.303
Cl 3.334 0.832 11.322
Cl 7.577 3.753 11.564
Cl 1.553 7.192 12.252
Cl 5.484 7.475 12.970
Cl 1.966 2.469 14.620
Cl 5.705 2.467 14.669
Cl 7.513 8.793 15.949
Cl 3.773 5.841 16.052
Cl 3.598 2.308 18.390
Cl 7.655 5.237 18.452
Cl 2.130 8.683 19.048
Cl 5.648 8.775 19.261
Cl 1.604 3.552 21.376
Cl 5.515 3.725 22.334
Cl 4.031 7.300 22.902
Cl 0.158 0.169 22.972
Cl 0.364 3.785 25.326
Cl 4.046 0.911 25.354
Cl 1.835 7.309 26.286
Cl 5.863 7.280 26.463
Cs 0.064 5.340 0.925
Cs 3.934 9.296 2.292
Cs 0.050 1.746 4.872
Cs 3.912 5.619 5.928
Cs 3.920 0.621 7.873
Cs 7.721 6.638 9.115
Cs 3.811 4.270 11.773
Cs -0.014 0.342 12.812
Cs 0.030 5.370 14.763
Cs 3.884 9.289 15.744
Cs 0.005 1.718 18.478
Cs 3.934 5.642 19.675
Cs 3.868 0.676 21.711
Cs -0.055 6.649 22.770
Cs 3.894 4.361 25.523
Cs -0.001 0.392 26.654
Hg 3.886 3.415 2.347
Hg 0.008 7.574 4.416
Hg 7.731 2.621 9.318
Hg 3.721 8.304 11.395
Hg 3.835 3.348 16.133
Hg -0.048 7.717 18.275
Hg -0.039 2.664 23.097
Hg 3.894 8.354 25.251
```

Values from the calculation:
**Space group**: No. 1
**Theoretical density**: 3.79 Mg/m³
**Uncorrected energy**: -154.84 eV per cell

=====

[7]
The following is a PBE calculation of a geometry-optimized Cs2HgCl4 structure, from the Open Quantum Materials Database.

extended XYZ file:
```
14
Lattice="-3.504 -2.837 -5.869 5.393 -5.214 -0.700 -3.197 -4.438 8.434" Properties=species:S:1:pos:R:3 pbc="T T T"
Cl 0.844 -6.550 -5.189
Cl 2.543 -7.858 -1.404
Cl -0.041 -5.382 -1.068
Cl -0.067 -3.032 2.426
Cl -1.325 -9.376 -0.549
Cl -3.924 -4.538 3.279
Cl -1.362 -7.038 2.947
Cl -2.197 -5.897 7.060
Cs -1.258 -3.382 -3.977
Cs 2.015 -6.243 1.841
Cs -3.406 -6.165 0.036
Cs -0.156 -9.005 5.856
Hg -0.449 -3.102 -0.042
Hg -0.937 -9.312 1.918
```

Values from the calculation:
**Space group**: No. 4
**Theoretical density**: 3.84 Mg/m³
**Uncorrected energy**: -38.76 eV per cell

=====

[8]
The following is a PBE calculation of a geometry-optimized Cs2HgCl4 structure, from the Open Quantum Materials Database.

extended XYZ file:
```
28
Lattice="7.595 0.000 0.000 0.000 10.009 0.000 0.000 0.000 13.688" Properties=species:S:1:pos:R:3 pbc="T T T"
Cl 1.899 9.658 1.199
Cl 5.696 6.775 1.275
Cl 3.919 3.248 2.108
Cl 7.473 3.248 2.108
Cl 3.919 8.252 4.737
Cl 7.473 8.252 4.737
Cl 5.696 1.771 5.570
Cl 1.899 4.654 5.645
Cl 5.696 5.355 8.043
Cl 1.899 8.238 8.119
Cl 0.122 1.757 8.952
Cl 3.676 1.757 8.952
Cl 0.122 6.761 11.581
Cl 3.676 6.761 11.581
Cl 1.899 3.233 12.414
Cl 5.696 0.351 12.489
Cs 1.899 6.167 1.080
Cs 5.696 0.150 2.397
Cs 5.696 5.154 4.448
Cs 1.899 1.163 5.764
Cs 5.696 8.846 7.925
Cs 1.899 4.854 9.241
Cs 1.899 9.859 11.292
Cs 5.696 3.841 12.608
Hg 1.899 2.136 1.050
Hg 1.899 7.140 5.795
Hg 5.696 2.868 7.894
Hg 5.696 7.873 12.639
```

Values from the calculation:
**Space group**: No. 62
**Theoretical density**: 3.88 Mg/m³
**Uncorrected energy**: -77.53 eV per cell

=====

[9]
The following is a PBE calculation of a geometry-optimized Cs2HgCl4 structure, from the Open Quantum Materials Database.

extended XYZ file:
```
56
Lattice="-7.695 5.627 2.561 -4.464 -4.029 -4.560 -5.786 -17.019 20.700" Properties=species:S:1:pos:R:3 pbc="T T T"
Cl -7.944 2.704 1.568
Cl -7.768 -0.785 -1.250
Cl -1.999 -0.344 1.329
Cl -4.703 -3.056 0.095
Cl -6.302 0.850 5.112
Cl -8.607 -1.019 2.973
Cl -4.844 -2.612 3.946
Cl -5.323 -6.894 0.746
Cl -10.579 -0.784 6.737
Cl -10.194 -4.287 4.419
Cl -4.290 -3.948 7.579
Cl -6.736 -5.944 5.295
Cl -8.806 -2.463 9.832
Cl -11.487 -5.154 8.621
Cl -7.413 -6.243 9.469
Cl -7.605 -10.065 6.274
Cl -10.340 -5.356 12.427
Cl -10.532 -9.177 9.232
Cl -6.458 -10.266 10.080
Cl -9.139 -12.958 8.869
Cl -11.209 -9.476 13.405
Cl -13.655 -11.473 11.121
Cl -7.751 -11.134 14.282
Cl -7.366 -14.637 11.964
Cl -12.622 -8.526 17.955
Cl -13.101 -12.809 14.754
Cl -9.338 -14.402 15.727
Cl -11.643 -16.271 13.588
Cl -13.242 -12.365 18.605
Cl -15.946 -15.076 17.372
Cl -10.177 -14.636 19.951
Cl -10.001 -18.125 17.132
Cs -10.535 0.842 -0.051
Cs -5.491 0.100 1.707
Cs -9.672 1.888 4.613
Cs -7.523 -4.467 1.906
Cs -7.556 -2.468 6.417
Cs -5.426 -8.841 3.690
Cs -9.887 -7.306 6.309
Cs -4.697 -7.916 8.217
Cs -13.247 -7.504 10.484
Cs -8.058 -8.114 12.391
Cs -12.519 -6.580 15.010
Cs -10.389 -12.952 12.284
Cs -10.422 -10.953 16.794
Cs -8.272 -17.308 14.087
Cs -12.454 -15.521 16.993
Cs -7.410 -16.262 18.751
Hg -5.876 -2.225 -2.005
Hg -10.785 -2.276 2.966
Hg -4.435 -4.787 5.213
Hg -9.430 -4.916 10.096
Hg -8.515 -10.505 8.605
Hg -13.510 -10.634 13.488
Hg -7.160 -13.144 15.734
Hg -12.069 -13.196 20.705
```

Values from the calculation:
**Space group**: No. 14
**Theoretical density**: 3.96 Mg/m³
**Uncorrected energy**: -155.05 eV per cell

=====

[10]
The following is a PBE calculation of a geometry-optimized Cs2HgIrCl6 structure, from the Open Quantum Materials Database.

extended XYZ file:
```
10
Lattice="4.838 -3.871 4.158 -2.154 -2.844 6.554 -0.817 -7.376 0.779" Properties=species:S:1:pos:R:3 pbc="T T T"
Cl -0.461 -5.148 6.111
Cl 2.698 -5.612 5.028
Cl 1.725 -6.897 7.989
Cl -0.830 -8.480 6.462
Cl 0.143 -7.195 3.501
Cl 2.329 -8.944 5.380
Cs 0.467 -3.523 2.873
Cs 1.401 -10.569 8.618
Hg 0.000 0.000 0.000
Ir 0.934 -7.046 5.745
```

Values from the calculation:
**Space group**: No. 225
**Theoretical density**: 4.92 Mg/m³
**Uncorrected energy**: -32.48 eV per cell

=====

[11]
The following is a PBE calculation of a geometry-optimized Cs2HgPbCl6 structure, from the Open Quantum Materials Database.

extended XYZ file:
```
10
Lattice="0.000 5.524 5.524 5.524 0.000 5.524 5.524 5.524 0.000" Properties=species:S:1:pos:R:3 pbc="T T T"
Cl 2.690 5.524 5.524
Cl 5.524 2.690 5.524
Cl 5.524 5.524 8.358
Cl 5.524 5.524 2.690
Cl 5.524 8.358 5.524
Cl 8.358 5.524 5.524
Cs 2.762 2.762 2.762
Cs 8.286 8.286 8.286
Hg 0.000 0.000 0.000
Pb 5.524 5.524 5.524
```

Values from the calculation:
**Space group**: No. 225
**Theoretical density**: 4.37 Mg/m³
**Uncorrected energy**: -30.25 eV per cell

=====

[12]
The following is a PBE calculation of a geometry-optimized Cs2Hg2PdCl8 structure, from the Open Quantum Materials Database.

extended XYZ file:
```
13
Lattice="6.022 -3.543 0.000 6.022 3.543 0.000 -3.677 0.000 9.590" Properties=species:S:1:pos:R:3 pbc="T T T"
Cl 7.046 -1.907 1.308
Cl 7.046 1.907 1.308
Cl 9.958 0.000 2.990
Cl 6.112 0.000 4.786
Cl 2.255 0.000 4.804
Cl -1.591 0.000 6.599
Cl 1.321 -1.907 8.281
Cl 1.321 1.907 8.281
Cs 4.122 0.000 1.632
Cs 4.245 0.000 7.958
Hg 0.129 0.000 3.792
Hg 8.238 0.000 5.798
Pd 0.000 0.000 0.000
```

Values from the calculation:
**Space group**: No. 12
**Theoretical density**: 4.29 Mg/m³
**Uncorrected energy**: -35.86 eV per cell

=====

[13]
The following is a PBE calculation of a geometry-optimized Cs2HgPtCl6 structure, from the Open Quantum Materials Database.

extended XYZ file:
```
10
Lattice="-2.192 -4.393 5.753 -6.160 -4.335 -0.686 0.700 -7.514 -0.500" Properties=species:S:1:pos:R:3 pbc="T T T"
Cl -2.921 -6.057 4.204
Cl -5.118 -6.025 0.640
Cl -6.331 -8.457 3.825
Cl -1.320 -7.785 0.743
Cl -2.533 -10.217 3.927
Cl -4.730 -10.185 0.363
Cs -1.913 -4.061 1.142
Cs -5.738 -12.182 3.425
Hg -3.826 -8.121 2.284
Pt 0.000 0.000 0.000
```

Values from the calculation:
**Space group**: No. 225
**Theoretical density**: 4.75 Mg/m³
**Uncorrected energy**: -30.28 eV per cell

=====

[14]
The following is a PBE calculation of a geometry-optimized Cs2RbHgCl6 structure, from the Open Quantum Materials Database.

extended XYZ file:
```
10
Lattice="0.000 5.642 5.642 5.642 0.000 5.642 5.642 5.642 0.000" Properties=species:S:1:pos:R:3 pbc="T T T"
Cl 2.606 5.642 5.642
Cl 5.642 2.606 5.642
Cl 5.642 5.642 8.678
Cl 5.642 5.642 2.606
Cl 5.642 8.678 5.642
Cl 8.678 5.642 5.642
Cs 2.821 2.821 2.821
Cs 8.463 8.463 8.463
Hg 0.000 0.000 0.000
Rb 5.642 5.642 5.642
```

Values from the calculation:
**Space group**: No. 225
**Theoretical density**: 3.53 Mg/m³
**Uncorrected energy**: -26.93 eV per cell

=====

[15]
The following is a PBE calculation of a geometry-optimized Cs2YHgCl6 structure, from the Open Quantum Materials Database.

extended XYZ file:
```
10
Lattice="-3.323 -5.435 4.600 -5.716 2.040 4.990 -7.393 -2.297 -1.344" Properties=species:S:1:pos:R:3 pbc="T T T"
Cl -5.895 -4.074 4.350
Cl -7.030 -0.528 4.535
Cl -8.607 -3.107 6.718
Cl -7.826 -2.586 1.529
Cl -9.403 -5.164 3.712
Cl -10.538 -1.618 3.897
Cs -4.108 -1.423 2.062
Cs -12.325 -4.269 6.185
Hg 0.000 0.000 0.000
Y -8.216 -2.846 4.123
```

Values from the calculation:
**Space group**: No. 225
**Theoretical density**: 3.72 Mg/m³
**Uncorrected energy**: -37.22 eV per cell

=====

[16]
The following is a PBE calculation of a geometry-optimized Cs2PdI2Cl2 structure, from the Open Quantum Materials Database.

extended XYZ file:
```
7
Lattice="4.957 -6.110 0.000 4.957 6.110 0.000 0.000 0.000 4.969" Properties=species:S:1:pos:R:3 pbc="T T T"
Cl 4.957 -3.765 0.000
Cl 4.957 3.765 0.000
Cs 2.478 -3.055 2.485
Cs 2.478 3.055 2.485
I 2.657 0.000 0.000
I 7.257 0.000 0.000
Pd 0.000 0.000 0.000
```

Values from the calculation:
**Space group**: No. 65
**Theoretical density**: 3.85 Mg/m³
**Uncorrected energy**: -22.08 eV per cell

=====

[17]
The following is a PBE calculation of a geometry-optimized Cs2PdI2Cl2 structure, from the Open Quantum Materials Database.

extended XYZ file:
```
7
Lattice="4.916 0.000 0.000 0.000 7.938 0.000 0.000 0.000 7.958" Properties=species:S:1:pos:R:3 pbc="T T T"
Cl 0.000 1.693 1.732
Cl 0.000 6.245 1.732
Cs 2.458 3.969 0.454
Cs 2.458 0.000 3.646
I 0.000 1.852 6.147
I 0.000 6.087 6.147
Pd 0.000 0.000 0.036
```

Values from the calculation:
**Space group**: No. 25
**Theoretical density**: 3.73 Mg/m³
**Uncorrected energy**: -22.09 eV per cell